The following is a GGA-PBE calculation of crystalline Pm2YAu at its relaxed geometry, from Alexandria via LeMat-Bulk.

Cell: 10.3340 10.3340 10.3340 Å, 21.03 21.03 21.03°
Closest atoms and distances in Å follow each position.
Sites, in units of the cell vectors:
Pm (0.0000, 0.0000, 0.0000)  3 Au 3.07
Pm (0.1908, 0.1908, 0.1908)  3 Au 3.07
Y (0.4283, 0.4283, 0.4283)  6 Pm 3.61-3.63, 6 Y 3.77
Au (0.5954, 0.5954, 0.5954)  6 Pm 3.07

final energy: -20.23 eV per formula unit
space-group type: R3m, No. 160

The following is a GGA-PBE calculation of crystalline CaCd11Ni at its relaxed geometry, from Alexandria via LeMat-Bulk.

Cell: 7.7340 7.7340 7.6137 Å, 97.36 97.36 137.39°
Closest atoms and distances in Å follow each position.
Sites, in units of the cell vectors:
Ca (0.0000, 0.0000, 0.0000)  18 Cd 3.47-3.87, 2 Ni 3.85
Cd (0.0000, 0.0000, 0.5000)  2 Ni 2.81, 8 Cd 2.93-2.99
Cd (0.0000, 0.5000, 0.0000)  8 Cd 2.81-3.12
Cd (0.0228, 0.3590, 0.3616)  1 Ni 2.95, 7 Cd 2.99-3.30
Cd (0.3071, 0.5108, 0.7826)  1 Ni 2.80, 6 Cd 2.93-3.10
Cd (0.3590, 0.0228, 0.3616)  1 Ni 2.95, 7 Cd 2.99-3.30
Cd (0.4892, 0.6929, 0.2174)  1 Ni 2.80, 6 Cd 2.93-3.10
Cd (0.5000, 0.0000, 0.0000)  8 Cd 2.81-3.12
Cd (0.5108, 0.3071, 0.7826)  1 Ni 2.80, 6 Cd 2.93-3.10
Cd (0.6410, 0.9772, 0.6384)  1 Ni 2.95, 7 Cd 2.99-3.30
Cd (0.6929, 0.4892, 0.2174)  1 Ni 2.80, 6 Cd 2.93-3.10
Cd (0.9772, 0.6410, 0.6384)  1 Ni 2.95, 7 Cd 2.99-3.30
Ni (0.5000, 0.5000, 0.5000)  10 Cd 2.80-2.95

final energy: -18.86 eV per formula unit
space-group type: C2/m, No. 12

> Among the records above, which one has the highest final energy?

CaCd11Ni

> Which of these has the lowest final energy?

Pm2YAu

What did the second record say?
The following is a GGA-PBE calculation of crystalline CaCd11Ni at its relaxed geometry, from Alexandria via LeMat-Bulk.

Cell: 7.7340 7.7340 7.6137 Å, 97.36 97.36 137.39°
Closest atoms and distances in Å follow each position.
Sites, in units of the cell vectors:
Ca (0.0000, 0.0000, 0.0000)  18 Cd 3.47-3.87, 2 Ni 3.85
Cd (0.0000, 0.0000, 0.5000)  2 Ni 2.81, 8 Cd 2.93-2.99
Cd (0.0000, 0.5000, 0.0000)  8 Cd 2.81-3.12
Cd (0.0228, 0.3590, 0.3616)  1 Ni 2.95, 7 Cd 2.99-3.30
Cd (0.3071, 0.5108, 0.7826)  1 Ni 2.80, 6 Cd 2.93-3.10
Cd (0.3590, 0.0228, 0.3616)  1 Ni 2.95, 7 Cd 2.99-3.30
Cd (0.4892, 0.6929, 0.2174)  1 Ni 2.80, 6 Cd 2.93-3.10
Cd (0.5000, 0.0000, 0.0000)  8 Cd 2.81-3.12
Cd (0.5108, 0.3071, 0.7826)  1 Ni 2.80, 6 Cd 2.93-3.10
Cd (0.6410, 0.9772, 0.6384)  1 Ni 2.95, 7 Cd 2.99-3.30
Cd (0.6929, 0.4892, 0.2174)  1 Ni 2.80, 6 Cd 2.93-3.10
Cd (0.9772, 0.6410, 0.6384)  1 Ni 2.95, 7 Cd 2.99-3.30
Ni (0.5000, 0.5000, 0.5000)  10 Cd 2.80-2.95

final energy: -18.86 eV per formula unit
space-group type: C2/m, No. 12